No. 1
Cs2GaMoPb | PBE | optimized geometry

Summary:
Total moment (μB per atom): 0.71
Energy of formation (eV per atom): 1.080
E_tot (eV per atom): -2.77

Geometry as extended XYZ:
```
5
Lattice="6.3730 0.0000 0.0000 0.0000 6.3730 0.0000 0.0000 0.0000 5.3721" Properties=species:S:1:pos:R:3 pbc="T T T"
Cs 0.0000 3.1865 0.0000
Cs 3.1865 0.0000 0.0000
Ga 0.0000 0.0000 2.6860
Mo 3.1865 3.1865 0.0000
Pb 3.1865 3.1865 2.6860
```

=====

No. 2
CsGaN | PBE | optimized geometry

Summary:
Total moment (μB per atom): 0.00
Energy relative to the elements, uncorrected (eV per atom): -0.026
E_tot (eV per atom): -4.09

Geometry as extended XYZ:
```
12
Lattice="9.1915 0.0000 0.0000 0.0000 6.4652 0.0000 -1.2540 0.0000 6.1776" Properties=species:S:1:pos:R:3 pbc="T T T"
Cs 1.6337 0.4492 2.0059
Cs 1.0067 2.7834 5.0947
Cs 6.9307 3.6818 1.0829
Cs 6.3037 6.0160 4.1717
Ga 3.5866 4.1079 2.1030
Ga 2.9596 5.5900 5.1918
Ga 4.9778 0.8753 0.9858
Ga 4.3508 2.3573 4.0746
N 3.5306 1.0099 5.1895
N 4.1576 2.2227 2.1007
N 3.7798 4.2425 4.0769
N 4.4068 5.4553 0.9881
```

=====

No. 3
CsGa3N | PBE | optimized geometry

Summary:
Total moment (μB per atom): 0.00
Energy relative to the elements, uncorrected (eV per atom): 2.339
E above lowest polymorph (meV/atom): 1560
E_tot (eV per atom): -1.31

Geometry as extended XYZ:
```
5
Lattice="6.1047 0.0000 0.0000 0.0000 6.1047 0.0000 0.0000 0.0000 6.1047" Properties=species:S:1:pos:R:3 pbc="T T T"
Cs 0.0000 0.0000 0.0000
Ga 0.0000 0.0000 3.0524
Ga 0.0000 3.0524 0.0000
Ga 3.0524 0.0000 0.0000
N 3.0524 3.0524 3.0524
```

=====

No. 4
Cs3GaN | PBE | optimized geometry

Summary:
Total moment (μB per atom): 0.00
Energy relative to the elements, uncorrected (eV per atom): 0.686
E above lowest polymorph (meV/atom): 0
E_tot (eV per atom): -2.10

Geometry as extended XYZ:
```
5
Lattice="6.0527 0.0000 0.0000 0.0000 6.0527 0.0000 0.0000 0.0000 6.0527" Properties=species:S:1:pos:R:3 pbc="T T T"
Cs 0.0000 0.0000 3.0263
Cs 0.0000 3.0263 0.0000
Cs 3.0263 0.0000 0.0000
Ga 3.0263 3.0263 3.0263
N 0.0000 0.0000 0.0000
```

=====

No. 5
CsGa3N | PBE | optimized geometry

Summary:
Total moment (μB per atom): 0.00
Energy relative to the elements, uncorrected (eV per atom): 0.779
E above lowest polymorph (meV/atom): 0
E_tot (eV per atom): -2.87

Geometry as extended XYZ:
```
5
Lattice="4.9557 0.0000 0.0000 0.0000 4.9557 0.0000 0.0000 0.0000 4.9557" Properties=species:S:1:pos:R:3 pbc="T T T"
Cs 0.0000 0.0000 0.0000
Ga 0.0000 2.4778 2.4778
Ga 2.4778 0.0000 2.4778
Ga 2.4778 2.4778 0.0000
N 2.4778 2.4778 2.4778
```

=====

No. 6
CsGaNO2 | PBE | optimized geometry

Summary:
Total moment (μB per atom): 0.15
Energy relative to the elements, uncorrected (eV per atom): 1.347
E_tot (eV per atom): -3.08

Geometry as extended XYZ:
```
5
Lattice="4.4973 0.0000 0.0000 0.0000 4.4973 0.0000 0.0000 0.0000 4.4524" Properties=species:S:1:pos:R:3 pbc="T T T"
Cs 0.0000 0.0000 0.0000
Ga 2.2487 2.2487 2.2262
N 0.0000 0.0000 2.2262
O 0.0000 2.2487 0.0000
O 2.2487 0.0000 0.0000
```